No. 1
The following is a DFT calculation (PBE-GGA) of an optimized crystal structure of HoPaIn6.

Cell and atoms, written as POSCAR:
```
HoPaIn6
1.0
6.565 0.000 0.000
0.000 6.565 0.000
0.000 0.000 4.625
Ho Pa In
1 1 6
Direct
0.000 0.000 0.000
0.500 0.500 0.000
0.000 0.500 0.000
0.249 0.249 0.500
0.249 0.751 0.500
0.500 0.000 0.000
0.751 0.249 0.500
0.751 0.751 0.500
```

Properties
calculated density: 9.0 g/cm3
symmetry: P4/mmm (123)


No. 2
The following is a DFT calculation (PBE-GGA) of an optimized crystal structure of HoPaIn2.

Cell and atoms, written as POSCAR:
```
HoPaIn2
1.0
1.661 0.959 10.904
-1.661 0.959 10.904
0.000 -1.918 10.904
Ho Pa In
1 1 2
Direct
0.000 0.000 0.000
0.500 0.500 0.500
0.251 0.251 0.251
0.749 0.749 0.749
```

Properties
calculated density: 10.0 g/cm3
symmetry: R-3m (166)
relative energy among the computed polymorphs: 0.35 eV/f.u.


No. 3
The following is a DFT calculation (PBE-GGA) of an optimized crystal structure of HoPaIn2.

Cell and atoms, written as POSCAR:
```
HoPaIn2
1.0
4.769 0.000 0.000
0.000 4.769 0.000
0.000 0.000 4.555
Ho Pa In
1 1 2
Direct
0.000 0.000 0.000
0.500 0.500 0.000
0.000 0.500 0.500
0.500 0.000 0.500
```

Properties
calculated density: 10.0 g/cm3
symmetry: P4/mmm (123)
relative energy among the computed polymorphs: 0.32 eV/f.u.


No. 4
The following is a DFT calculation (PBE-GGA) of an optimized crystal structure of HoPa2In9.

Cell and atoms, written as POSCAR:
```
HoPa2In9
1.0
4.641 0.000 0.000
0.000 4.641 0.000
0.000 0.000 13.899
Ho Pa In
1 2 9
Direct
0.000 0.000 0.000
0.000 0.000 0.333
0.000 0.000 0.667
0.000 0.500 0.165
0.000 0.500 0.500
0.000 0.500 0.835
0.500 0.000 0.165
0.500 0.000 0.500
0.500 0.000 0.835
0.500 0.500 0.000
0.500 0.500 0.334
0.500 0.500 0.666
```

Properties
calculated density: 9.2 g/cm3
symmetry: P4/mmm (123)


No. 5
The following is a DFT calculation (PBE-GGA) of an optimized crystal structure of Ho3PaIn3Se8.

Cell and atoms, written as POSCAR:
```
Ho3PaIn3Se8
1.0
4.132 2.386 7.787
-4.132 2.386 7.787
0.000 -4.772 7.787
Ho Pa In Se
3 1 3 8
Direct
0.000 0.500 0.500
0.500 0.000 0.500
0.500 0.500 0.000
0.000 0.000 0.000
0.000 0.000 0.500
0.000 0.500 0.000
0.500 0.000 0.000
0.235 0.235 0.736
0.235 0.736 0.235
0.264 0.765 0.765
0.265 0.265 0.265
0.735 0.735 0.735
0.736 0.235 0.235
0.765 0.264 0.765
0.765 0.765 0.264
```

Properties
calculated density: 6.1 g/cm3
symmetry: R-3m (166)
energy relative to the elements, uncorrected: -1890 kJ/mol of formula units


No. 6
The following is a DFT calculation (PBE-GGA) of an optimized crystal structure of HoPaInSn.

Cell and atoms, written as POSCAR:
```
HoPaInSn
1.0
0.000 3.760 3.760
3.760 0.000 3.760
3.760 3.760 0.000
Ho Pa In Sn
1 1 1 1
Direct
0.000 0.000 0.000
0.500 0.500 0.500
0.750 0.750 0.750
0.250 0.250 0.250
```

Properties
calculated density: 9.8 g/cm3
symmetry: F-43m (216)


No. 7
The following is a DFT calculation (PBE-GGA) of an optimized crystal structure of HoPaInTc.

Cell and atoms, written as POSCAR:
```
HoPaInTc
1.0
0.000 3.586 3.586
3.586 0.000 3.586
3.586 3.586 0.000
Ho Pa In Tc
1 1 1 1
Direct
0.000 0.000 0.000
0.500 0.500 0.500
0.250 0.250 0.250
0.750 0.750 0.750
```

Properties
calculated density: 11.0 g/cm3
symmetry: F-43m (216)
relative energy among the computed polymorphs: 1.16 eV/f.u.


No. 8
The following is a DFT calculation (PBE-GGA) of an optimized crystal structure of HoPaInTc.

Cell and atoms, written as POSCAR:
```
HoPaInTc
1.0
3.351 0.000 0.000
0.000 3.351 0.000
0.000 0.000 8.336
Ho Pa In Tc
1 1 1 1
Direct
0.000 0.000 0.000
0.000 0.000 0.586
0.500 0.500 0.288
0.500 0.500 0.781
```

Properties
calculated density: 10.8 g/cm3
symmetry: P4mm (99)
relative energy among the computed polymorphs: 0.00 eV/f.u.


No. 9
The following is a DFT calculation (PBE-GGA) of an optimized crystal structure of Ho3PaIn3Te8.

Cell and atoms, written as POSCAR:
```
Ho3PaIn3Te8
1.0
4.365 2.520 8.193
-4.365 2.520 8.193
0.000 -5.040 8.193
Ho Pa In Te
3 1 3 8
Direct
0.000 0.500 0.500
0.500 0.000 0.500
0.500 0.500 0.000
0.000 0.000 0.000
0.000 0.000 0.500
0.000 0.500 0.000
0.500 0.000 0.000
0.240 0.240 0.739
0.240 0.739 0.240
0.261 0.261 0.261
0.261 0.760 0.760
0.739 0.240 0.240
0.739 0.739 0.739
0.760 0.261 0.760
0.760 0.760 0.261
```

Properties
calculated density: 6.4 g/cm3
symmetry: R-3m (166)
energy relative to the elements, uncorrected: -1339 kJ/mol of formula units


No. 10
The following is a DFT calculation (PBE-GGA) of an optimized crystal structure of Ho2PaIn3Te6.

Cell and atoms, written as POSCAR:
```
Ho2PaIn3Te6
1.0
3.777 -6.539 0.000
3.777 6.539 0.000
-2.518 0.000 8.245
Ho Pa In Te
2 1 3 6
Direct
0.167 0.833 0.000
0.833 0.167 0.000
0.500 0.500 0.000
0.000 0.000 0.500
0.333 0.667 0.500
0.667 0.333 0.500
0.092 0.427 0.780
0.239 0.239 0.220
0.427 0.092 0.780
0.573 0.908 0.220
0.761 0.761 0.780
0.908 0.573 0.220
```

Properties
calculated density: 6.8 g/cm3
symmetry: C2/m (12)
energy relative to the elements, uncorrected: -917 kJ/mol of formula units


No. 11
The following is a DFT calculation (PBE-GGA) of an optimized crystal structure of HoPaZnIn.

Cell and atoms, written as POSCAR:
```
HoPaZnIn
1.0
0.000 3.664 3.664
3.664 0.000 3.664
3.664 3.664 0.000
Ho Pa Zn In
1 1 1 1
Direct
0.000 0.000 0.000
0.500 0.500 0.500
0.250 0.250 0.250
0.750 0.750 0.750
```

Properties
calculated density: 9.7 g/cm3
symmetry: F-43m (216)


No. 12
The following is a DFT calculation (PBE-GGA) of an optimized crystal structure of Ho12In5Pb2.

Cell and atoms, written as POSCAR:
```
Ho12In5Pb2
1.0
8.476 -3.489 0.000
8.476 3.489 0.000
-1.215 0.000 10.100
Ho In Pb
12 5 2
Direct
0.015 0.015 0.305
0.071 0.572 0.898
0.092 0.613 0.450
0.387 0.908 0.550
0.397 0.397 0.191
0.428 0.929 0.102
0.572 0.071 0.898
0.603 0.603 0.809
0.613 0.092 0.450
0.908 0.387 0.550
0.929 0.428 0.102
0.985 0.985 0.695
0.163 0.163 0.823
0.214 0.214 0.339
0.500 0.500 0.500
0.786 0.786 0.661
0.837 0.837 0.177
0.239 0.761 0.000
0.761 0.239 0.000
```

Properties
calculated density: 8.2 g/cm3
symmetry: C2/m (12)


No. 13
The following is a DFT calculation (PBE-GGA) of an optimized crystal structure of HoInPb2.

Cell and atoms, written as POSCAR:
```
HoInPb2
1.0
4.809 0.000 0.000
0.000 4.809 0.000
0.000 0.000 4.783
Ho In Pb
1 1 2
Direct
0.000 0.000 0.000
0.500 0.500 0.000
0.000 0.500 0.500
0.500 0.000 0.500
```

Properties
calculated density: 10.4 g/cm3
symmetry: P4/mmm (123)


No. 14
The following is a DFT calculation (PBE-GGA) of an optimized crystal structure of HoInPb.

Cell and atoms, written as POSCAR:
```
HoInPb
1.0
4.300 0.000 0.000
0.000 4.300 0.000
0.000 0.000 5.783
Ho In Pb
1 1 1
Direct
0.000 0.000 0.000
0.500 0.500 0.000
0.500 0.500 0.500
```

Properties
calculated density: 7.6 g/cm3
symmetry: P4/mmm (123)
relative energy among the computed polymorphs: 1.52 eV/f.u.


No. 15
The following is a DFT calculation (PBE-GGA) of an optimized crystal structure of HoInPb2.

Cell and atoms, written as POSCAR:
```
HoInPb2
1.0
4.149 0.000 0.000
0.000 4.149 0.000
0.000 0.000 6.644
Ho In Pb
1 1 2
Direct
0.000 0.000 0.000
0.000 0.000 0.500
0.500 0.500 0.248
0.500 0.500 0.752
```

Properties
calculated density: 10.1 g/cm3
symmetry: P4/mmm (123)


No. 16
The following is a DFT calculation (PBE-GGA) of an optimized crystal structure of HoIn2Pb.

Cell and atoms, written as POSCAR:
```
HoIn2Pb
1.0
-2.240 2.240 5.202
2.240 -2.240 5.202
2.240 2.240 -5.202
Ho In Pb
1 2 1
Direct
0.000 0.000 0.000
0.250 0.750 0.500
0.750 0.250 0.500
0.500 0.500 0.000
```

Properties
calculated density: 9.6 g/cm3
symmetry: I4/mmm (139)


No. 17
The following is a DFT calculation (PBE-GGA) of an optimized crystal structure of Ho5InPb4.

Cell and atoms, written as POSCAR:
```
Ho5InPb4
1.0
-4.873 4.873 3.171
4.873 -4.873 3.171
4.873 4.873 -3.171
Ho In Pb
5 1 4
Direct
0.000 0.000 0.000
0.209 0.987 0.595
0.392 0.613 0.405
0.613 0.209 0.221
0.987 0.392 0.779
0.497 0.497 0.000
0.079 0.695 0.176
0.519 0.903 0.824
0.695 0.519 0.616
0.903 0.079 0.384
```

Properties
calculated density: 9.8 g/cm3
symmetry: I4 (79)


No. 18
The following is a DFT calculation (PBE-GGA) of an optimized crystal structure of Ho2InPb2.

Cell and atoms, written as POSCAR:
```
Ho2InPb2
1.0
5.066 0.000 0.000
0.000 17.305 0.000
0.000 0.000 3.588
Ho In Pb
4 2 4
Direct
0.002 0.180 0.000
0.498 0.680 0.000
0.502 0.320 0.000
0.998 0.820 0.000
0.000 0.000 0.000
0.500 0.500 0.000
0.002 0.361 0.500
0.498 0.861 0.500
0.502 0.139 0.500
0.998 0.639 0.500
```

Properties
calculated density: 9.1 g/cm3
symmetry: Pbam (55)
relative energy among the computed polymorphs: 0.00 eV/f.u.


No. 19
The following is a DFT calculation (PBE-GGA) of an optimized crystal structure of Ho2InPb9.

Cell and atoms, written as POSCAR:
```
Ho2InPb9
1.0
4.791 0.000 0.000
0.000 4.791 0.000
0.000 0.000 15.470
Ho In Pb
2 1 9
Direct
0.000 0.000 0.151
0.000 0.000 0.849
0.000 0.000 0.500
0.000 0.500 0.000
0.000 0.500 0.329
0.000 0.500 0.671
0.500 0.000 0.000
0.500 0.000 0.329
0.500 0.000 0.671
0.500 0.500 0.168
0.500 0.500 0.500
0.500 0.500 0.832
```

Properties
calculated density: 10.8 g/cm3
symmetry: P4/mmm (123)


No. 20
The following is a DFT calculation (PBE-GGA) of an optimized crystal structure of Ho6In5Pb.

Cell and atoms, written as POSCAR:
```
Ho6In5Pb
1.0
4.569 -8.034 0.000
4.569 8.034 0.000
-3.141 0.000 4.346
Ho In Pb
6 5 1
Direct
0.082 0.417 0.749
0.249 0.249 0.249
0.417 0.082 0.749
0.583 0.918 0.251
0.751 0.751 0.751
0.918 0.583 0.251
0.000 0.000 0.500
0.166 0.834 0.000
0.331 0.669 0.500
0.669 0.331 0.500
0.834 0.166 0.000
0.500 0.500 0.000
```

Properties
calculated density: 9.2 g/cm3
symmetry: C2/m (12)
relative energy among the computed polymorphs: 0.00 eV/f.u.


Table of E_tot (eV per formula unit), in record order: -32.6; -20.0; -20.1; -50.9; -78.9; -21.5; -27.1; -28.3; -70.5; -55.2; -18.2; -78.4; -15.9; -10.3; -15.5; -15.0; -43.3; -20.1; -47.2; -50.0